# 1
4
Lattice="-1.064 3.025 0.292 -1.830 -0.391 -2.620 -4.599 -1.956 3.504" Properties=species:S:1:pos:R:3 comment="BeSbW2 PBE optimized geometry" spacegroup="P4/mmm (123)" density_kg_m3=13080 dft_energy_ev_per_atom=-7.85 e_form_raw_ev_per_atom=0.585 pbc="T T T"
Sb -4.896 -0.150 1.464
W -0.213 -0.090 0.162
W -2.087 -0.887 1.590
Be -2.597 0.828 -0.288

=====

# 2
4
Lattice="-4.798 -1.205 -1.102 -2.611 -2.025 3.843 2.900 4.113 -0.601" Properties=species:S:1:pos:R:3 comment="BeSbW2 PBE optimized geometry" spacegroup="I4/mmm (139)" density_kg_m3=12970 dft_energy_ev_per_atom=-7.72 e_form_raw_ev_per_atom=0.714 pbc="T T T"
Sb -2.801 0.646 -0.166
W 0.000 0.000 0.000
W -3.704 -1.615 1.370
Be -1.708 0.237 2.306

=====

# 3
4
Lattice="4.488 0.000 0.000 2.244 3.886 0.000 2.244 1.295 3.664" Properties=species:S:1:pos:R:3 comment="BeSbW2 PBE optimized geometry" spacegroup="F-43m (216)" density_kg_m3=12952 dft_energy_ev_per_atom=-7.81 e_form_raw_ev_per_atom=0.626 pbc="T T T"
Sb 6.731 3.886 2.748
W 0.000 0.000 0.000
W 2.244 1.295 0.916
Be 4.488 2.591 1.832

=====

# 4
5
Lattice="-4.252 -0.562 0.499 0.744 -3.557 2.331 0.108 2.382 3.600" Properties=species:S:1:pos:R:3 comment="BeSbW3 PBE optimized geometry" spacegroup="Pm-3m (221)" density_kg_m3=14075 dft_energy_ev_per_atom=-8.38 e_form_raw_ev_per_atom=0.959 pbc="T T T"
Sb -1.700 -0.869 3.215
W 0.372 -1.779 1.166
W 0.054 1.191 1.800
W -2.126 -0.281 0.250
Be 0.000 0.000 0.000

=====

# 5
4
Lattice="-2.612 -0.431 -1.749 0.265 -4.469 0.706 -2.388 -2.488 4.179" Properties=species:S:1:pos:R:3 comment="BeSbW2 PBE optimized geometry" spacegroup="P2/m (10)" density_kg_m3=12695 dft_energy_ev_per_atom=-7.85 e_form_raw_ev_per_atom=0.592 pbc="T T T"
Sb -1.194 -1.244 2.089
W 0.000 0.000 0.000
W -1.173 -2.450 -0.521
Be -2.367 -3.694 1.568

=====

# 6
4
Lattice="-3.040 4.152 0.014 -2.333 -4.408 1.268 -0.399 0.384 2.845" Properties=species:S:1:pos:R:3 comment="BeSbW2 PBE optimized geometry" spacegroup="C2/m (12)" density_kg_m3=12733 dft_energy_ev_per_atom=-7.71 e_form_raw_ev_per_atom=0.725 pbc="T T T"
Sb -1.366 -2.012 2.056
W 0.000 0.000 0.000
W -2.686 -0.128 0.641
Be -1.719 2.268 1.429